No. 1
Below is a relaxed structure of Ce8IrAu2, with properties calculated at the PBE level.

Calculated values
- Formation energy: -3.7 eV/f.u.
- Crystal system: monoclinic

Cell and atoms, written as CIF:
```
data_Ce8IrAu2
_symmetry_space_group_name_H-M 'C 1 2/m 1'
_symmetry_Int_Tables_number 12
_symmetry_space_group_name_Hall '-C 2y'
_cell_length_a 17.961
_cell_length_b 4.714
_cell_length_c 6.612
_cell_angle_alpha 90.00
_cell_angle_beta 99.24
_cell_angle_gamma 90.00
loop_
_atom_site_label
_atom_site_fract_x
_atom_site_fract_y
_atom_site_fract_z
Ce1 0.011 0.000 0.254
Ce2 0.090 0.500 0.443
Ce3 0.158 0.500 0.990
Ce4 0.219 0.000 0.232
Ir1 0.000 0.500 0.000
Au1 0.167 0.000 0.683
```

=====

No. 2
Below is a relaxed structure of VZn2Cd, with properties calculated at the PBE level.

Calculated values
- Formation energy: 1.8 eV/f.u.
- Crystal system: tetragonal

Cell and atoms, written as CIF:
```
data_VZn2Cd
_symmetry_space_group_name_H-M 'I -4 2 d'
_symmetry_Int_Tables_number 122
_symmetry_space_group_name_Hall 'I -4 2bw'
_cell_length_a 7.268
_cell_length_b 7.268
_cell_length_c 5.602
_cell_angle_alpha 90.00
_cell_angle_beta 90.00
_cell_angle_gamma 90.00
loop_
_atom_site_label
_atom_site_fract_x
_atom_site_fract_y
_atom_site_fract_z
V1 0.000 0.000 0.000
Zn1 0.244 0.750 0.125
Cd1 0.000 0.000 0.500
```

=====

No. 3
Below is a relaxed structure of SrBiB2Ru, with properties calculated at the PBE level.

Calculated values
- Formation energy: 12.4 eV/f.u.
- Crystal system: tetragonal

Cell and atoms, written as CIF:
```
data_SrBiB2Ru
_symmetry_space_group_name_H-M 'P 4/m m m'
_symmetry_Int_Tables_number 123
_symmetry_space_group_name_Hall '-P 4 2'
_cell_length_a 4.834
_cell_length_b 4.834
_cell_length_c 5.025
_cell_angle_alpha 90.00
_cell_angle_beta 90.00
_cell_angle_gamma 90.00
loop_
_atom_site_label
_atom_site_fract_x
_atom_site_fract_y
_atom_site_fract_z
Sr1 0.000 0.000 0.000
Bi1 0.500 0.500 0.500
B1 0.000 0.500 0.000
Ru1 0.000 0.000 0.500
```

=====

No. 4
Below is a relaxed structure of Nd10Dy6Mg, with properties calculated at the PBE level.

Calculated values
- Formation energy: 1.9 eV/f.u.
- Crystal system: trigonal

Cell and atoms, written as CIF:
```
data_Nd10Dy6Mg
_symmetry_space_group_name_H-M 'P -3 1 m'
_symmetry_Int_Tables_number 162
_symmetry_space_group_name_Hall '-P 3 2'
_cell_length_a 9.8022
_cell_length_b 9.8022
_cell_length_c 6.9063
_cell_angle_alpha 90.00
_cell_angle_beta 90.00
_cell_angle_gamma 120.00
loop_
_atom_site_label
_atom_site_fract_x
_atom_site_fract_y
_atom_site_fract_z
Nd1 0.0000 0.2653 0.1853
Nd2 0.3333 0.6667 0.0000
Nd3 0.3333 0.6667 0.5000
Dy1 0.0000 0.3745 0.6932
Mg1 0.0000 0.0000 0.5000
```

=====

No. 5
Below is a relaxed structure of InRePb2, with properties calculated at the PBE level.

Calculated values
- Formation energy: 3.5 eV/f.u.
- Crystal system: monoclinic
- Distance to the lowest polymorph of the same formula: 348 meV per atom

Cell and atoms, written as CIF:
```
data_InRePb2
_symmetry_space_group_name_H-M 'P 1 2/m 1'
_symmetry_Int_Tables_number 10
_symmetry_space_group_name_Hall '-P 2y'
_cell_length_a 3.463
_cell_length_b 4.898
_cell_length_c 5.927
_cell_angle_alpha 90.00
_cell_angle_beta 104.18
_cell_angle_gamma 90.00
loop_
_atom_site_label
_atom_site_fract_x
_atom_site_fract_y
_atom_site_fract_z
In1 0.000 0.000 0.000
Re1 0.000 0.000 0.500
Pb1 0.364 0.500 0.730
```

=====

No. 6
Below is a relaxed structure of Pr2MgSi4Pt3, with properties calculated at the PBE level.

Calculated values
- Formation energy from raw total energies: -0.985 eV/atom
- Crystal system: tetragonal

Cell and atoms, written as CIF:
```
data_Pr2MgSi4Pt3
_symmetry_space_group_name_H-M 'P -4 m 2'
_symmetry_Int_Tables_number 115
_symmetry_space_group_name_Hall 'P -4 -2'
_cell_length_a 4.254
_cell_length_b 4.254
_cell_length_c 10.330
_cell_angle_alpha 90.00
_cell_angle_beta 90.00
_cell_angle_gamma 90.00
loop_
_atom_site_label
_atom_site_fract_x
_atom_site_fract_y
_atom_site_fract_z
Pr1 0.000 0.500 0.242
Mg1 0.000 0.000 0.500
Si1 0.000 0.000 0.000
Si2 0.000 0.500 0.648
Si3 0.500 0.500 0.000
Pt1 0.000 0.500 0.884
Pt2 0.500 0.500 0.500
```

=====

No. 7
Below is a relaxed structure of ZrScV2Ge, with properties calculated at the PBE level.

Calculated values
- Formation energy: 2.8 eV/f.u.
- Crystal system: tetragonal

Cell and atoms, written as CIF:
```
data_ZrScV2Ge
_symmetry_space_group_name_H-M 'P 4/m m m'
_symmetry_Int_Tables_number 123
_symmetry_space_group_name_Hall '-P 4 2'
_cell_length_a 4.593
_cell_length_b 4.593
_cell_length_c 5.018
_cell_angle_alpha 90.00
_cell_angle_beta 90.00
_cell_angle_gamma 90.00
loop_
_atom_site_label
_atom_site_fract_x
_atom_site_fract_y
_atom_site_fract_z
Zr1 0.000 0.000 0.000
Sc1 0.500 0.500 0.000
V1 0.000 0.500 0.500
Ge1 0.000 0.000 0.500
```

=====

No. 8
Below is a relaxed structure of TbPmThSc, with properties calculated at the PBE level.

Calculated values
- Formation energy: 0.6 eV/f.u.
- Crystal system: cubic
- Distance to the lowest polymorph of the same formula: 130 meV per atom

Cell and atoms, written as CIF:
```
data_TbPmThSc
_symmetry_space_group_name_H-M 'F -4 3 m'
_symmetry_Int_Tables_number 216
_symmetry_space_group_name_Hall 'F -4 2 3'
_cell_length_a 7.900
_cell_length_b 7.900
_cell_length_c 7.900
_cell_angle_alpha 90.00
_cell_angle_beta 90.00
_cell_angle_gamma 90.00
loop_
_atom_site_label
_atom_site_fract_x
_atom_site_fract_y
_atom_site_fract_z
Tb1 0.000 0.000 0.000
Pm1 0.250 0.250 0.250
Th1 0.000 0.000 0.500
Sc1 0.250 0.250 0.750
```